Entry 1:
Material: SiTc2W
Method: DFT, GGA-PBEsol
State: relaxed

Cell and atoms, written as extended XYZ:
```
4
Lattice="3.0374 0.0000 0.0000 0.0000 3.0374 0.0000 0.0000 0.0000 5.9757" Properties=species:S:1:pos:R:3 pbc="T T T"
Si 0.0000 0.0000 0.0000
Tc 1.5187 1.5187 1.4211
Tc 1.5187 1.5187 4.5546
W 0.0000 0.0000 2.9879
```

Properties
formation energy (no corrections)	-0.301	eV/atom
E_tot	-10.82	eV/atom
magnetic moment	0.0	μB/cell

***

Entry 2:
Material: RePbBr
Method: DFT, GGA-PBEsol
State: relaxed

Cell and atoms, written as extended XYZ:
```
3
Lattice="0.0000 3.3135 3.3135 3.3135 0.0000 3.3135 3.3135 3.3135 0.0000" Properties=species:S:1:pos:R:3 pbc="T T T"
Re 0.0000 0.0000 0.0000
Pb 3.3135 3.3135 3.3135
Br 4.9702 4.9702 4.9702
```

Properties
formation energy (no corrections)	1.913	eV/atom
E_tot	-4.49	eV/atom
magnetic moment	2.4	μB/cell

***

Entry 3:
Material: ZrTlAu2
Method: DFT, GGA-PBEsol
State: relaxed

Cell and atoms, written as extended XYZ:
```
4
Lattice="1.7620 1.0173 8.1597 -1.7620 1.0173 8.1597 0.0000 -2.0346 8.1597" Properties=species:S:1:pos:R:3 pbc="T T T"
Zr 0.0000 0.0000 0.0000
Tl 0.0000 0.0000 12.2395
Au 0.0000 0.0000 6.2784
Au 0.0000 0.0000 18.2005
```

Properties
ΔH_f (0 K)	-166	meV/atom
E_tot	-5.06	eV/atom
magnetic moment	0.0	μB/cell

***

Entry 4:
Material: Zn2RePt
Method: DFT, GGA-PBEsol
State: relaxed

Cell and atoms, written as extended XYZ:
```
4
Lattice="-1.3580 2.2517 4.6093 1.3580 -2.2517 4.6093 1.3580 2.2517 -4.6093" Properties=species:S:1:pos:R:3 pbc="T T T"
Zn 0.0000 0.0000 0.0000
Zn 0.0000 2.2517 2.3281
Re 1.3580 0.0000 2.3386
Pt 0.0000 0.0000 4.6883
```

Properties
excess energy over the best structure of this formula in the dataset	0.072	eV/atom
ΔH_f (0 K)	88	meV/atom
E_tot	-5.78	eV/atom
magnetic moment	0.0	μB/cell

***

Entry 5:
Material: La2CuIr
Method: DFT, GGA-PBEsol
State: relaxed

Cell and atoms, written as extended XYZ:
```
4
Lattice="2.0931 1.2085 6.7801 -2.0931 1.2085 6.7801 0.0000 -2.4170 6.7801" Properties=species:S:1:pos:R:3 pbc="T T T"
La 0.0000 0.0000 4.9288
La 0.0000 0.0000 15.4115
Cu 0.0000 0.0000 0.0000
Ir 0.0000 0.0000 10.1701
```

Properties
ΔH_f (0 K)	-318	meV/atom
E_tot	-6.53	eV/atom
magnetic moment	0.0	μB/cell

***

Entry 6:
Material: PrAgAu2
Method: DFT, GGA-PBEsol
State: relaxed

Cell and atoms, written as extended XYZ:
```
4
Lattice="0.0000 3.4760 3.4760 3.4760 0.0000 3.4760 3.4760 3.4760 0.0000" Properties=species:S:1:pos:R:3 pbc="T T T"
Pr 0.0000 0.0000 0.0000
Ag 3.4760 3.4760 3.4760
Au 1.7380 1.7380 1.7380
Au 5.2140 5.2140 5.2140
```

Properties
ΔH_f (0 K)	-519	meV/atom
E_tot	-4.61	eV/atom
magnetic moment	0.0	μB/cell

***

Entry 7:
Material: FeOs2Br
Method: DFT, GGA-PBEsol
State: relaxed

Cell and atoms, written as extended XYZ:
```
4
Lattice="1.3857 -2.2378 0.0000 1.3857 2.2378 0.0000 0.0000 0.0000 11.1166" Properties=species:S:1:pos:R:3 pbc="T T T"
Fe 0.0000 0.0000 0.0000
Os 1.3857 0.0000 2.0629
Os 1.3857 0.0000 9.0537
Br 0.0000 0.0000 5.5583
```

Properties
excess energy over the best structure of this formula in the dataset	0.109	eV/atom
formation energy (no corrections)	0.941	eV/atom
E_tot	-7.88	eV/atom
magnetic moment	2.7	μB/cell

***

Entry 8:
Material: Mg7NbH16
Method: DFT, GGA-PBEsol
State: relaxed

Cell and atoms, written as extended XYZ:
```
24
Lattice="0.0000 4.6589 4.6589 4.6589 0.0000 4.6589 4.6589 4.6589 0.0000" Properties=species:S:1:pos:R:3 pbc="T T T"
Mg 0.0000 0.0000 0.0000
Mg 2.3294 2.3294 0.0000
Mg 2.3294 0.0000 2.3294
Mg 4.6589 2.3294 2.3294
Mg 0.0000 2.3294 2.3294
Mg 2.3294 4.6589 2.3294
Mg 2.3294 2.3294 4.6589
Nb 4.6589 4.6589 4.6589
H 1.1878 1.1878 1.1878
H 3.4711 3.4711 1.1878
H 3.4711 1.1878 3.4711
H 5.7731 3.5446 3.5446
H 3.5446 3.5446 3.5446
H 5.7731 5.7731 3.5446
H 5.7731 3.5446 5.7731
H 8.1300 5.8466 5.8466
H 1.1878 3.4711 3.4711
H 3.5446 5.7731 3.5446
H 3.5446 3.5446 5.7731
H 5.7731 5.7731 5.7731
H 3.5446 5.7731 5.7731
H 5.8466 8.1300 5.8466
H 5.8466 5.8466 8.1300
H 8.1300 8.1300 8.1300
```

Properties
E_tot	-3.31	eV/atom
magnetic moment	0.7	μB/cell

***

Q: The highest magnetic moment belongs to which entry?
A: FeOs2Br

***

Q: Among the records above, which one has the highest E_tot?
A: Mg7NbH16